Record 1
This record from the Alexandria database describes a relaxed structure of Te3Pd5. The functional is PBE-GGA.

Cell and atoms, written as CIF:
```
data_Te3Pd5
_space_group_name_H-M_alt 'P 1'
_space_group_IT_number 1
_cell_length_a 8.438
_cell_length_b 8.438
_cell_length_c 8.438
_cell_angle_alpha 60.00
_cell_angle_beta 60.00
_cell_angle_gamma 60.00
loop_
_space_group_symop_operation_xyz
'x,y,z'
loop_
_atom_site_label
_atom_site_type_symbol
_atom_site_fract_x
_atom_site_fract_y
_atom_site_fract_z
Te1 Te 0.000 0.000 0.000
Te2 Te 0.000 0.000 0.500
Te3 Te 0.000 0.500 0.000
Te4 Te 0.375 0.375 0.375
Te5 Te 0.500 0.000 0.000
Te6 Te 0.625 0.625 0.625
Pd1 Pd 0.125 0.125 0.125
Pd2 Pd 0.251 0.251 0.251
Pd3 Pd 0.251 0.251 0.748
Pd4 Pd 0.251 0.748 0.251
Pd5 Pd 0.252 0.749 0.749
Pd6 Pd 0.748 0.251 0.251
Pd7 Pd 0.749 0.252 0.749
Pd8 Pd 0.749 0.749 0.252
Pd9 Pd 0.749 0.749 0.749
Pd10 Pd 0.875 0.875 0.875
```

Values from the calculation:
- energy (eV per atom) = -4.29
- formation energy (no corrections) (meV/atom) = 136

***

Record 2
This record from the Alexandria database describes a relaxed structure of ThTePd4. The functional is PBE-GGA.

Cell and atoms, written as CIF:
```
data_ThTePd4
_space_group_name_H-M_alt 'P 1'
_space_group_IT_number 1
_cell_length_a 5.485
_cell_length_b 5.485
_cell_length_c 5.485
_cell_angle_alpha 60.00
_cell_angle_beta 60.00
_cell_angle_gamma 60.00
loop_
_space_group_symop_operation_xyz
'x,y,z'
loop_
_atom_site_label
_atom_site_type_symbol
_atom_site_fract_x
_atom_site_fract_y
_atom_site_fract_z
Th1 Th 0.000 0.000 0.000
Te1 Te 0.750 0.750 0.750
Pd1 Pd 0.374 0.374 0.374
Pd2 Pd 0.374 0.374 0.877
Pd3 Pd 0.374 0.877 0.374
Pd4 Pd 0.877 0.374 0.374
```

Values from the calculation:
- energy (eV per atom) = -5.84
- formation energy (no corrections) (meV/atom) = -615

***

Record 3
This record from the Alexandria database describes a relaxed structure of ThTePd. The functional is PBE-GGA.

Cell and atoms, written as CIF:
```
data_ThTePd
_space_group_name_H-M_alt 'P 1'
_space_group_IT_number 1
_cell_length_a 5.709
_cell_length_b 5.709
_cell_length_c 5.709
_cell_angle_alpha 140.23
_cell_angle_beta 140.23
_cell_angle_gamma 57.51
loop_
_space_group_symop_operation_xyz
'x,y,z'
loop_
_atom_site_label
_atom_site_type_symbol
_atom_site_fract_x
_atom_site_fract_y
_atom_site_fract_z
Th1 Th 0.000 0.000 0.000
Te1 Te 0.681 0.681 0.000
Pd1 Pd 0.354 0.354 0.000
```

Values from the calculation:
- energy (eV per atom) = -6.08
- E above lowest polymorph (eV/atom) = 0.161
- formation energy (no corrections) (meV/atom) = -830

***

Record 4
This record from the Alexandria database describes a relaxed structure of ThTePd. The functional is PBE-GGA.

Cell and atoms, written as CIF:
```
data_ThTePd
_space_group_name_H-M_alt 'P 1'
_space_group_IT_number 1
_cell_length_a 3.954
_cell_length_b 4.224
_cell_length_c 10.252
_cell_angle_alpha 90.00
_cell_angle_beta 101.08
_cell_angle_gamma 90.00
loop_
_space_group_symop_operation_xyz
'x,y,z'
loop_
_atom_site_label
_atom_site_type_symbol
_atom_site_fract_x
_atom_site_fract_y
_atom_site_fract_z
Th1 Th 0.092 0.250 0.186
Th2 Th 0.908 0.750 0.814
Te1 Te 0.325 0.250 0.648
Te2 Te 0.675 0.750 0.352
Pd1 Pd 0.460 0.250 0.919
Pd2 Pd 0.540 0.750 0.081
```

Values from the calculation:
- energy (eV per atom) = -6.22
- E above lowest polymorph (eV/atom) = 0.023
- formation energy (no corrections) (meV/atom) = -969

***

Record 5
This record from the Alexandria database describes a relaxed structure of Th2Te4Pd. The functional is PBE-GGA.

Cell and atoms, written as CIF:
```
data_Th2Te4Pd
_space_group_name_H-M_alt 'P 1'
_space_group_IT_number 1
_cell_length_a 8.012
_cell_length_b 8.012
_cell_length_c 7.677
_cell_angle_alpha 117.80
_cell_angle_beta 117.80
_cell_angle_gamma 32.30
loop_
_space_group_symop_operation_xyz
'x,y,z'
loop_
_atom_site_label
_atom_site_type_symbol
_atom_site_fract_x
_atom_site_fract_y
_atom_site_fract_z
Th1 Th 0.248 0.248 0.247
Th2 Th 0.752 0.752 0.753
Te1 Te 0.114 0.114 0.778
Te2 Te 0.386 0.386 0.711
Te3 Te 0.614 0.614 0.289
Te4 Te 0.886 0.886 0.222
Pd1 Pd 0.500 0.500 0.500
```

Values from the calculation:
- energy (eV per atom) = -5.62
- formation energy (no corrections) (meV/atom) = -966

***

Record 6
This record from the Alexandria database describes a relaxed structure of ThTe2Pd9. The functional is PBE-GGA.

Cell and atoms, written as CIF:
```
data_ThTe2Pd9
_space_group_name_H-M_alt 'P 1'
_space_group_IT_number 1
_cell_length_a 4.162
_cell_length_b 4.162
_cell_length_c 12.308
_cell_angle_alpha 90.00
_cell_angle_beta 90.00
_cell_angle_gamma 90.00
loop_
_space_group_symop_operation_xyz
'x,y,z'
loop_
_atom_site_label
_atom_site_type_symbol
_atom_site_fract_x
_atom_site_fract_y
_atom_site_fract_z
Th1 Th 0.000 0.000 0.000
Te1 Te 0.000 0.000 0.344
Te2 Te 0.000 0.000 0.656
Pd1 Pd 0.000 0.500 0.168
Pd2 Pd 0.000 0.500 0.500
Pd3 Pd 0.000 0.500 0.832
Pd4 Pd 0.500 0.000 0.168
Pd5 Pd 0.500 0.000 0.500
Pd6 Pd 0.500 0.000 0.832
Pd7 Pd 0.500 0.500 0.000
Pd8 Pd 0.500 0.500 0.333
Pd9 Pd 0.500 0.500 0.667
```

Values from the calculation:
- energy (eV per atom) = -5.48
- formation energy (no corrections) (meV/atom) = -441

***

Record 7
This record from the Alexandria database describes a relaxed structure of ThTe2Pd7. The functional is PBE-GGA.

Cell and atoms, written as CIF:
```
data_ThTe2Pd7
_space_group_name_H-M_alt 'P 1'
_space_group_IT_number 1
_cell_length_a 11.128
_cell_length_b 11.128
_cell_length_c 11.128
_cell_angle_alpha 157.64
_cell_angle_beta 157.64
_cell_angle_gamma 31.83
loop_
_space_group_symop_operation_xyz
'x,y,z'
loop_
_atom_site_label
_atom_site_type_symbol
_atom_site_fract_x
_atom_site_fract_y
_atom_site_fract_z
Th1 Th 0.000 0.000 0.000
Te1 Te 0.326 0.326 0.000
Te2 Te 0.674 0.674 0.000
Pd1 Pd 0.094 0.594 0.500
Pd2 Pd 0.250 0.750 0.500
Pd3 Pd 0.406 0.906 0.500
Pd4 Pd 0.500 0.500 0.000
Pd5 Pd 0.594 0.094 0.500
Pd6 Pd 0.750 0.250 0.500
Pd7 Pd 0.906 0.406 0.500
```

Values from the calculation:
- energy (eV per atom) = -5.52
- formation energy (no corrections) (meV/atom) = -518

***

Record 8
This record from the Alexandria database describes a relaxed structure of Th5Te2Pd2. The functional is PBE-GGA.

Cell and atoms, written as CIF:
```
data_Th5Te2Pd2
_space_group_name_H-M_alt 'P 1'
_space_group_IT_number 1
_cell_length_a 9.023
_cell_length_b 9.023
_cell_length_c 7.455
_cell_angle_alpha 90.00
_cell_angle_beta 90.00
_cell_angle_gamma 58.10
loop_
_space_group_symop_operation_xyz
'x,y,z'
loop_
_atom_site_label
_atom_site_type_symbol
_atom_site_fract_x
_atom_site_fract_y
_atom_site_fract_z
Th1 Th 0.000 0.000 0.000
Th2 Th 0.051 0.693 0.652
Th3 Th 0.193 0.551 0.152
Th4 Th 0.307 0.949 0.652
Th5 Th 0.449 0.807 0.152
Th6 Th 0.500 0.500 0.500
Th7 Th 0.551 0.193 0.848
Th8 Th 0.693 0.051 0.348
Th9 Th 0.807 0.449 0.848
Th10 Th 0.949 0.307 0.348
Te1 Te 0.205 0.205 0.000
Te2 Te 0.295 0.295 0.500
Te3 Te 0.705 0.705 0.500
Te4 Te 0.795 0.795 0.000
Pd1 Pd 0.115 0.885 0.360
Pd2 Pd 0.385 0.615 0.860
Pd3 Pd 0.615 0.385 0.140
Pd4 Pd 0.885 0.115 0.640
```

Values from the calculation:
- energy (eV per atom) = -6.72
- formation energy (no corrections) (meV/atom) = -741